The following is a PBE calculation of a geometry-optimized Pm2CoH6Pt structure, from Alexandria.

Cell lengths 5.321, 5.321, 5.321 Å; angles 123.60, 123.60, 83.88 degrees
Atoms (fractional coordinates):
Pm1 0.250 0.750 0.500
Pm2 0.750 0.250 0.500
Co1 0.000 0.000 0.000
H1 0.207 0.207 0.000
H2 0.237 0.237 0.474
H3 0.237 0.763 0.000
H4 0.763 0.237 0.000
H5 0.763 0.763 0.526
H6 0.793 0.793 0.000
Pt1 0.500 0.500 0.000

crystal system	tetragonal
total moment	0.00	μB per cell

=====

The following is a PBE calculation of a geometry-optimized PmCoH6Rh structure, from Alexandria.

Cell lengths 4.573, 4.573, 4.206 Å; angles 90.00, 90.00, 120.00 degrees
Atoms (fractional coordinates):
Pm1 0.000 0.000 0.000
Co1 0.667 0.333 0.500
H1 0.509 0.017 0.241
H2 0.509 0.017 0.759
H3 0.509 0.491 0.241
H4 0.509 0.491 0.759
H5 0.983 0.491 0.241
H6 0.983 0.491 0.759
Rh1 0.333 0.667 0.500

crystal system	hexagonal
total moment	1.38	μB per cell

=====

The following is a PBE calculation of a geometry-optimized Pm2CoH6Rh structure, from Alexandria.

Cell lengths 5.171, 5.160, 5.143 Å; angles 60.25, 60.04, 59.71 degrees
Atoms (fractional coordinates):
Pm1 0.250 0.250 0.250
Pm2 0.750 0.750 0.750
Co1 0.000 0.000 0.000
H1 0.234 0.234 0.766
H2 0.236 0.764 0.236
H3 0.237 0.763 0.763
H4 0.763 0.237 0.237
H5 0.764 0.236 0.764
H6 0.766 0.766 0.234
Rh1 0.500 0.500 0.500

crystal system	orthorhombic
total moment	0.24	μB per cell

=====

The following is a PBE calculation of a geometry-optimized Pm2CoH6Ru structure, from Alexandria.

Cell lengths 5.147, 5.147, 5.147 Å; angles 119.83, 119.83, 90.30 degrees
Atoms (fractional coordinates):
Pm1 0.250 0.750 0.500
Pm2 0.750 0.250 0.500
Co1 0.000 0.000 0.000
H1 0.242 0.242 0.484
H2 0.242 0.758 0.000
H3 0.243 0.243 0.000
H4 0.757 0.757 0.000
H5 0.758 0.242 0.000
H6 0.758 0.758 0.516
Ru1 0.500 0.500 0.000

crystal system	tetragonal
total moment	0.00	μB per cell

=====

The following is a PBE calculation of a geometry-optimized PmScCo2H8 structure, from Alexandria.

Cell lengths 6.056, 6.056, 6.056 Å; angles 44.83, 44.83, 44.83 degrees
Atoms (fractional coordinates):
Pm1 0.000 0.000 0.000
Sc1 0.500 0.500 0.500
Co1 0.193 0.193 0.193
Co2 0.807 0.807 0.807
H1 0.078 0.400 0.875
H2 0.125 0.922 0.600
H3 0.298 0.298 0.298
H4 0.400 0.875 0.078
H5 0.600 0.125 0.922
H6 0.702 0.702 0.702
H7 0.875 0.078 0.400
H8 0.922 0.600 0.125

crystal system	trigonal
total moment	0.00	μB per cell

=====

The following is a PBE calculation of a geometry-optimized Pm2Co2Si2H structure, from Alexandria.

Cell lengths 10.546, 4.026, 6.979 Å; angles 90.00, 131.22, 90.00 degrees
Atoms (fractional coordinates):
Pm1 0.055 0.000 0.292
Pm2 0.445 0.500 0.708
Pm3 0.555 0.500 0.292
Pm4 0.945 0.000 0.708
Co1 0.206 0.500 0.093
Co2 0.294 0.000 0.907
Co3 0.706 0.000 0.093
Co4 0.794 0.500 0.907
Si1 0.166 0.500 0.722
Si2 0.334 0.000 0.278
Si3 0.666 0.000 0.722
Si4 0.834 0.500 0.278
H1 0.000 0.500 0.000
H2 0.500 0.000 0.000

crystal system	monoclinic
total moment	0.00	μB per cell

=====

The following is a PBE calculation of a geometry-optimized PmCo2SiH structure, from Alexandria.

Cell lengths 5.530, 5.530, 6.733 Å; angles 90.00, 90.00, 140.76 degrees
Atoms (fractional coordinates):
Pm1 0.062 0.938 0.750
Pm2 0.938 0.062 0.250
Co1 0.335 0.665 0.558
Co2 0.335 0.665 0.942
Co3 0.665 0.335 0.058
Co4 0.665 0.335 0.442
Si1 0.219 0.781 0.250
Si2 0.781 0.219 0.750
H1 0.500 0.500 0.000
H2 0.500 0.500 0.500

crystal system	orthorhombic
total moment	0.98	μB per cell

=====

The following is a PBE calculation of a geometry-optimized PmTaCo2H8 structure, from Alexandria.

Cell lengths 7.086, 7.086, 7.086 Å; angles 34.09, 34.09, 34.09 degrees
Atoms (fractional coordinates):
Pm1 0.000 0.000 0.000
Ta1 0.500 0.500 0.500
Co1 0.232 0.232 0.232
Co2 0.768 0.768 0.768
H1 0.138 0.377 0.778
H2 0.222 0.862 0.623
H3 0.312 0.312 0.312
H4 0.377 0.778 0.138
H5 0.623 0.222 0.862
H6 0.688 0.688 0.688
H7 0.778 0.138 0.377
H8 0.862 0.623 0.222

crystal system	trigonal
total moment	1.50	μB per cell

=====

The following is a PBE calculation of a geometry-optimized PmZnCoH6 structure, from Alexandria.

Cell lengths 4.412, 4.412, 4.383 Å; angles 90.00, 90.00, 120.00 degrees
Atoms (fractional coordinates):
Pm1 0.000 0.000 0.000
Zn1 0.333 0.667 0.500
Co1 0.667 0.333 0.500
H1 0.518 0.036 0.240
H2 0.518 0.036 0.760
H3 0.518 0.482 0.240
H4 0.518 0.482 0.760
H5 0.964 0.482 0.240
H6 0.964 0.482 0.760

crystal system	hexagonal
total moment	0.00	μB per cell

=====

The following is a PBE calculation of a geometry-optimized PrCo2H8 structure, from Alexandria.

Cell lengths 4.484, 4.484, 4.418 Å; angles 90.05, 90.05, 119.85 degrees
Atoms (fractional coordinates):
Pr1 0.000 0.000 0.000
Co1 0.374 0.719 0.499
Co2 0.719 0.374 0.499
H1 0.031 0.765 0.500
H2 0.033 0.482 0.257
H3 0.034 0.481 0.741
H4 0.481 0.034 0.741
H5 0.482 0.033 0.257
H6 0.507 0.507 0.270
H7 0.507 0.507 0.728
H8 0.765 0.031 0.500

crystal system	monoclinic
total moment	0.00	μB per cell

=====

The following is a PBE calculation of a geometry-optimized Pr4Co2H structure, from Alexandria.

Cell lengths 14.359, 3.968, 6.293 Å; angles 90.00, 111.13, 90.00 degrees
Atoms (fractional coordinates):
Pr1 0.104 0.000 0.271
Pr2 0.147 0.500 0.785
Pr3 0.353 0.000 0.215
Pr4 0.396 0.500 0.729
Pr5 0.604 0.500 0.271
Pr6 0.647 0.000 0.785
Pr7 0.853 0.500 0.215
Pr8 0.896 0.000 0.729
Co1 0.237 0.500 0.322
Co2 0.263 0.000 0.678
Co3 0.737 0.000 0.322
Co4 0.763 0.500 0.678
H1 0.000 0.000 0.500
H2 0.500 0.500 0.500

crystal system	monoclinic
total moment	0.00	μB per cell

=====

The following is a PBE calculation of a geometry-optimized PrCo3H6 structure, from Alexandria.

Cell lengths 5.631, 5.631, 5.631 Å; angles 46.04, 46.04, 46.04 degrees
Atoms (fractional coordinates):
Pr1 0.000 0.000 0.000
Co1 0.202 0.202 0.202
Co2 0.532 0.532 0.532
Co3 0.815 0.815 0.815
H1 0.168 0.434 0.792
H2 0.431 0.935 0.444
H3 0.434 0.792 0.168
H4 0.444 0.431 0.935
H5 0.792 0.168 0.434
H6 0.935 0.444 0.431

crystal system	trigonal
total moment	1.79	μB per cell

=====

The following is a PBE calculation of a geometry-optimized PrCoH3 structure, from Alexandria.

Cell lengths 5.111, 5.111, 4.932 Å; angles 90.00, 121.07, 90.00 degrees
Atoms (fractional coordinates):
Pr1 0.000 0.000 0.000
Pr2 0.500 0.500 0.000
Co1 0.166 0.500 0.333
Co2 0.666 0.000 0.333
H1 0.446 0.250 0.394
H2 0.446 0.750 0.394
H3 0.476 0.000 0.952
H4 0.946 0.250 0.394
H5 0.946 0.750 0.394
H6 0.976 0.500 0.952

crystal system	monoclinic
total moment	1.03	μB per cell

=====

The following is a PBE calculation of a geometry-optimized PrCo2H7 structure, from Alexandria.

Cell lengths 4.949, 4.949, 3.502 Å; angles 90.00, 90.00, 120.72 degrees
Atoms (fractional coordinates):
Pr1 0.000 0.000 0.000
Co1 0.315 0.685 0.500
Co2 0.685 0.315 0.500
H1 0.027 0.334 0.500
H2 0.319 0.681 0.000
H3 0.334 0.027 0.500
H4 0.500 0.500 0.500
H5 0.666 0.973 0.500
H6 0.681 0.319 0.000
H7 0.973 0.666 0.500

crystal system	orthorhombic
total moment	0.00	μB per cell

=====

The following is a PBE calculation of a geometry-optimized PrCoH structure, from Alexandria.

Cell lengths 3.782, 3.782, 3.689 Å; angles 90.00, 90.00, 120.00 degrees
Atoms (fractional coordinates):
Pr1 0.000 0.000 0.000
Co1 0.667 0.333 0.500
H1 0.333 0.667 0.500

crystal system	hexagonal
total moment	0.00	μB per cell

=====

The following is a PBE calculation of a geometry-optimized Pr2CoH8 structure, from Alexandria.

Cell lengths 7.317, 7.317, 4.170 Å; angles 105.39, 105.39, 28.45 degrees
Atoms (fractional coordinates):
Pr1 0.142 0.142 0.138
Pr2 0.858 0.858 0.862
Co1 0.500 0.500 0.500
H1 0.002 0.002 0.643
H2 0.241 0.241 0.737
H3 0.390 0.390 0.264
H4 0.441 0.441 0.767
H5 0.559 0.559 0.233
H6 0.610 0.610 0.736
H7 0.759 0.759 0.263
H8 0.998 0.998 0.357

crystal system	monoclinic
total moment	0.00	μB per cell

=====

The following is a PBE calculation of a geometry-optimized PrCoH structure, from Alexandria.

Cell lengths 10.641, 8.217, 7.171 Å; angles 87.23, 50.46, 42.31 degrees
Atoms (fractional coordinates):
Pr1 0.023 0.023 0.727
Pr2 0.273 0.273 0.977
Pr3 0.727 0.727 0.023
Pr4 0.977 0.977 0.273
Co1 0.021 0.229 0.021
Co2 0.229 0.021 0.229
Co3 0.771 0.979 0.771
Co4 0.979 0.771 0.979
H1 0.253 0.497 0.253
H2 0.497 0.253 0.497
H3 0.503 0.747 0.503
H4 0.747 0.503 0.747

crystal system	orthorhombic
total moment	0.00	μB per cell

=====

The following is a PBE calculation of a geometry-optimized PrCoH5 structure, from Alexandria.

Cell lengths 3.765, 4.757, 6.639 Å; angles 90.00, 90.00, 90.00 degrees
Atoms (fractional coordinates):
Pr1 0.000 0.000 0.000
Pr2 0.500 0.500 0.500
Co1 0.000 0.000 0.500
Co2 0.500 0.500 0.000
H1 0.000 0.237 0.339
H2 0.000 0.237 0.661
H3 0.000 0.500 0.000
H4 0.000 0.763 0.339
H5 0.000 0.763 0.661
H6 0.500 0.000 0.500
H7 0.500 0.263 0.161
H8 0.500 0.263 0.839
H9 0.500 0.737 0.161
H10 0.500 0.737 0.839

crystal system	orthorhombic
total moment	0.00	μB per cell

=====

The following is a PBE calculation of a geometry-optimized Pr4Co2H structure, from Alexandria.

Cell lengths 4.842, 4.842, 13.975 Å; angles 90.00, 90.00, 90.00 degrees
Atoms (fractional coordinates):
Pr1 0.000 0.000 0.198
Pr2 0.000 0.000 0.802
Pr3 0.000 0.500 0.000
Pr4 0.000 0.500 0.500
Pr5 0.500 0.000 0.000
Pr6 0.500 0.000 0.500
Pr7 0.500 0.500 0.302
Pr8 0.500 0.500 0.698
Co1 0.000 0.000 0.383
Co2 0.000 0.000 0.617
Co3 0.500 0.500 0.117
Co4 0.500 0.500 0.883
H1 0.000 0.000 0.000
H2 0.500 0.500 0.500

crystal system	tetragonal
total moment	0.00	μB per cell

=====

The following is a PBE calculation of a geometry-optimized PrCo5H4 structure, from Alexandria.

Cell lengths 5.166, 5.166, 4.034 Å; angles 90.00, 90.00, 116.65 degrees
Atoms (fractional coordinates):
Pr1 0.000 0.000 0.000
Co1 0.000 0.500 0.500
Co2 0.364 0.636 0.000
Co3 0.500 0.000 0.500
Co4 0.500 0.500 0.500
Co5 0.636 0.364 0.000
H1 0.000 0.500 0.000
H2 0.144 0.856 0.500
H3 0.500 0.000 0.000
H4 0.856 0.144 0.500

crystal system	orthorhombic
total moment	6.38	μB per cell

=====

The following is a PBE calculation of a geometry-optimized PrCoH3 structure, from Alexandria.

Cell lengths 3.621, 3.621, 3.621 Å; angles 90.00, 90.00, 90.00 degrees
Atoms (fractional coordinates):
Pr1 0.000 0.000 0.000
Co1 0.500 0.500 0.500
H1 0.000 0.500 0.500
H2 0.500 0.000 0.500
H3 0.500 0.500 0.000

crystal system	cubic
total moment	0.00	μB per cell

=====

The following is a PBE calculation of a geometry-optimized PrCoH6 structure, from Alexandria.

Cell lengths 4.522, 4.522, 4.522 Å; angles 59.21, 59.21, 59.21 degrees
Atoms (fractional coordinates):
Pr1 0.000 0.000 0.000
Co1 0.500 0.500 0.500
H1 0.093 0.594 0.594
H2 0.406 0.406 0.907
H3 0.406 0.907 0.406
H4 0.594 0.093 0.594
H5 0.594 0.594 0.093
H6 0.907 0.406 0.406

crystal system	trigonal
total moment	0.07	μB per cell

=====

The following is a PBE calculation of a geometry-optimized PrCo5H11 structure, from Alexandria.

Cell lengths 5.578, 5.578, 4.709 Å; angles 112.35, 112.35, 87.64 degrees
Atoms (fractional coordinates):
Pr1 0.000 0.000 0.000
Co1 0.033 0.384 0.707
Co2 0.384 0.033 0.707
Co3 0.500 0.500 0.000
Co4 0.616 0.967 0.293
Co5 0.967 0.616 0.293
H1 0.000 0.000 0.500
H2 0.155 0.630 0.666
H3 0.170 0.452 0.116
H4 0.279 0.279 0.595
H5 0.370 0.845 0.334
H6 0.452 0.170 0.116
H7 0.548 0.830 0.884
H8 0.630 0.155 0.666
H9 0.721 0.721 0.405
H10 0.830 0.548 0.884
H11 0.845 0.370 0.334

crystal system	monoclinic
total moment	3.89	μB per cell

=====

What VASP energy values result from the calculations? In sequence: -4.7534; -4.6952; -4.9082; -5.0401; -4.6129; -6.0347; -6.0679; -4.9129; -3.9493; -4.3810; -5.3100; -4.8128; -4.6221; -4.4730; -4.9129; -4.2305; -4.9653; -4.4760; -5.2578; -5.4683; -4.7857; -4.3636; -4.5303 eV per atom.